Below is TlFe2SbO6 after structural relaxation, with properties calculated at the PBE+U level.

```
10
Lattice="-4.387 -2.401 2.096 0.221 -2.061 5.088 -2.834 2.739 4.247" Properties=species:S:1:pos:R:3 pbc="T T T"
Tl -5.018 -1.966 8.309
Fe -3.403 -1.214 5.565
Fe -2.773 2.538 4.141
Sb -1.451 -1.289 2.485
O -3.211 -1.218 3.430
O -1.431 -1.840 6.253
O -4.659 -2.808 5.942
O -3.734 -0.297 7.678
O -5.253 0.141 5.452
O -2.698 0.890 5.531
```

Summary:
Volume = 12.54 A^3/atom
Calculated total energy = -59.9 eV for the cell shown
Fermi-level density of states = 2.1 states/eV/cell